Entry 1:
This record from Alexandria via LeMat-Bulk describes a relaxed MgWI3 crystal. The functional is PBE.

The value obtained for the energy relative to the elements, uncorrected is 0.87 eV per atom. The density of states at the Fermi level comes out at 7.7 states/eV/cell. The value obtained for the total energy is -2.97 eV per atom.

The structure belongs to space group Pm-3m (No. 221); the cell edges are 5.666, 5.666 and 5.666 Å and the angles 90.00°, 90.00° and 90.00°. The distinct sites, in fractional coordinates, are Mg at (0.000, 0.000, 0.000), W at (0.500, 0.500, 0.500) and I at (0.000, 0.000, 0.500).



Entry 2:
This record from Alexandria via LeMat-Bulk describes a relaxed NaCa3Pt crystal. The functional is PBE.

The density of states at the Fermi level comes out at 5.1 states/eV/cell. The formation energy is -36.0 meV per atom. The value obtained for the total energy is -2.71 eV per atom.

The structure belongs to space group Amm2 (No. 38); the cell edges are 3.971, 7.743 and 18.816 Å and the angles 90.00°, 90.00° and 90.00°. The distinct sites, in fractional coordinates, are Na at (0.000, 0.000, 0.000), Ca at (0.000, 0.249, 0.172), Ca at (0.500, 0.000, 0.827) and Pt at (0.500, 0.000, 0.683).



Entry 3:
This record from Alexandria via LeMat-Bulk describes a relaxed TbPmZrSc crystal. The functional is PBE.

The density of states at the Fermi level comes out at 26.5 states/eV/cell. The formation energy is 189.0 meV per atom. The value obtained for the total energy is -5.88 eV per atom.

The structure belongs to space group F-43m (No. 216); the cell edges are 7.638, 7.638 and 7.638 Å and the angles 90.00°, 90.00° and 90.00°. The distinct sites, in fractional coordinates, are Tb at (0.000, 0.000, 0.000), Pm at (0.000, 0.000, 0.500), Zr at (0.250, 0.250, 0.750) and Sc at (0.250, 0.250, 0.250).



Entry 4:
This record from Alexandria via LeMat-Bulk describes a relaxed Pm8GaHg2 crystal. The functional is PBE.

The density of states at the Fermi level comes out at 22.3 states/eV/cell. The formation energy is -195.6 meV per atom. The value obtained for the total energy is -3.98 eV per atom.

The structure belongs to space group Immm (No. 71); the cell edges are 5.149, 8.629 and 14.843 Å and the angles 90.00°, 90.00° and 90.00°. The distinct sites, in fractional coordinates, are Pm at (0.000, 0.000, 0.131), Pm at (0.000, 0.227, 0.342), Pm at (0.000, 0.318, 0.000), Ga at (0.000, 0.500, 0.500) and Hg at (0.000, 0.500, 0.197).



Entry 5:
This record from Alexandria via LeMat-Bulk describes a relaxed Hf4BPt2 crystal. The functional is PBE.

The density of states at the Fermi level comes out at 18.7 states/eV/cell. The formation energy is -555.3 meV per atom. The value obtained for the total energy is -8.92 eV per atom.

The structure belongs to space group I4/mmm (No. 139); the cell edges are 4.467, 4.467 and 13.537 Å and the angles 90.00°, 90.00° and 90.00°. The distinct sites, in fractional coordinates, are Hf at (0.000, 0.000, 0.176), Hf at (0.000, 0.500, 0.000), B at (0.000, 0.000, 0.000) and Pt at (0.000, 0.000, 0.367).



Entry 6:
This record from Alexandria via LeMat-Bulk describes a relaxed BeGeMoC2 crystal. The functional is PBE.

The density of states at the Fermi level comes out at 3.2 states/eV/cell. The formation energy is 2447.2 meV per atom. The value obtained for the total energy is -5.08 eV per atom.

The structure belongs to space group P4/mmm (No. 123); the cell edges are 3.790, 3.790 and 5.086 Å and the angles 90.00°, 90.00° and 90.00°. The distinct sites, in fractional coordinates, are Be at (0.000, 0.000, 0.000), Ge at (0.500, 0.500, 0.500), Mo at (0.500, 0.500, 0.000) and C at (0.000, 0.500, 0.500).



Entry 7:
This record from Alexandria via LeMat-Bulk describes a relaxed Sr2ZrIn crystal. The functional is PBE.

The density of states at the Fermi level comes out at 8.0 states/eV/cell. The formation energy is 213.3 meV per atom. The value obtained for the total energy is -3.45 eV per atom.

The structure belongs to space group I4/mmm (No. 139); the cell edges are 4.874, 4.874 and 10.600 Å and the angles 90.00°, 90.00° and 90.00°. The distinct sites, in fractional coordinates, are Sr at (0.000, 0.500, 0.250), Zr at (0.000, 0.000, 0.000) and In at (0.000, 0.000, 0.500).



Entry 8:
This record from Alexandria via LeMat-Bulk describes a relaxed HoNpTe3Pd crystal. The functional is PBE.

The value obtained for the energy relative to the elements, uncorrected is -0.92 eV per atom. The density of states at the Fermi level comes out at 14.8 states/eV/cell. The value obtained for the total energy is -6.28 eV per atom.

The structure belongs to space group P2_1/m (No. 11); the cell edges are 8.269, 4.194 and 9.913 Å and the angles 90.00°, 101.08° and 90.00°. The distinct sites, in fractional coordinates, are Ho at (0.176, 0.250, 0.181), Np at (0.320, 0.750, 0.719), Te at (0.097, 0.250, 0.852), Te at (0.226, 0.250, 0.485), Te at (0.424, 0.750, 0.134) and Pd at (0.414, 0.750, 0.408).